(1)
{
  "formula": "Y2Bi2Br",
  "functional": "PBE",
  "state": "relaxed",
  "dft_energy_ev_per_atom": -5.37,
  "raw_formation_energy_ev_per_atom": -0.8980,
  "magmom_total_mub_per_atom": 0.00,
  "lattice_angstrom": [[8.2133, 0.0000, 0.0000], [0.0000, 8.2133, 0.0000], [0.0000, 0.0000, 4.3934]],
  "species": ["Bi", "Bi", "Y", "Y", "Y", "Br", "Bi", "Bi", "Br", "Y"],
  "fractional_positions": [[0.3632, 0.1368, 0.5000], [0.1368, 0.6368, 0.5000], [0.1662, 0.3338, 0.0000], [0.6662, 0.1662, 0.0000], [0.8338, 0.6662, 0.0000], [0.0000, 0.0000, 0.0000], [0.8632, 0.3632, 0.5000], [0.6368, 0.8632, 0.5000], [0.5000, 0.5000, 0.0000], [0.3338, 0.8338, 0.0000]]
}

=====

(2)
{
  "formula": "AgI",
  "functional": "PBE",
  "state": "relaxed",
  "dft_energy_ev_per_atom": -2.37,
  "raw_formation_energy_ev_per_atom": -0.1655,
  "magmom_total_mub_per_atom": 0.00,
  "lattice_angstrom": [[4.3525, 0.0000, 0.0000], [2.1762, 3.7694, 0.0000], [2.1762, 1.2565, 3.5538]],
  "species": ["Ag", "I"],
  "fractional_positions": [[0.0000, 0.0000, 0.0000], [0.5000, 0.5000, 0.5000]]
}

=====

(3)
{
  "formula": "Cd3Pd6Au",
  "functional": "PBE",
  "state": "relaxed",
  "formation_energy_kcal_per_mol_atoms": -6.68,
  "dft_energy_ev_per_atom": -4.01,
  "magmom_total_mub_per_atom": 0.00,
  "lattice_angstrom": [[-0.3074, 0.2652, -4.6741], [2.3619, -7.2912, -0.5690], [-10.0408, 0.5861, 0.6935]],
  "species": ["Pd", "Pd", "Pd", "Cd", "Cd", "Cd", "Cd", "Pd", "Pd", "Pd", "Pd", "Au", "Pd", "Cd", "Pd", "Cd", "Au", "Pd", "Pd", "Pd"],
  "fractional_positions": [[0.7500, 0.3352, 0.3195], [0.7500, 0.5376, 0.9232], [0.7500, 0.9414, 0.1288], [0.7500, 0.2267, 0.0195], [0.7500, 0.6435, 0.2221], [0.7500, 0.4446, 0.6196], [0.2500, 0.7733, 0.9805], [0.7500, 0.7414, 0.5266], [0.2500, 0.8642, 0.2762], [0.7500, 0.1358, 0.7238], [0.2500, 0.1624, 0.1745], [0.2500, 0.9599, 0.5746], [0.2500, 0.4624, 0.0768], [0.2500, 0.5554, 0.3804], [0.2500, 0.6648, 0.6805], [0.2500, 0.3565, 0.7779], [0.7500, 0.0401, 0.4254], [0.7500, 0.8376, 0.8255], [0.2500, 0.2586, 0.4734], [0.2500, 0.0586, 0.8712]]
}

=====

(4)
{
  "formula": "Na2SrP2",
  "functional": "PBE",
  "state": "relaxed",
  "formation_energy_kcal_per_mol_atoms": -12.84,
  "dft_energy_ev_per_atom": -3.58,
  "magmom_total_mub_per_atom": 0.00,
  "lattice_angstrom": [[4.4169, 0.0000, 0.0000], [0.0000, 4.4169, 0.0000], [2.2085, 2.2085, 6.0548]],
  "species": ["P", "Na", "P", "Sr", "Na"],
  "fractional_positions": [[0.4056, 0.4056, 0.1889], [0.7500, 0.2500, 0.5000], [0.5944, 0.5944, 0.8111], [0.0000, 0.0000, 0.0000], [0.2500, 0.7500, 0.5000]]
}

=====

(5)
{
  "formula": "TbHoLu4",
  "functional": "PBE",
  "state": "relaxed",
  "formation_energy_kcal_per_mol_atoms": 6.55,
  "dft_energy_ev_per_atom": -4.26,
  "magmom_total_mub_per_atom": 0.24,
  "lattice_angstrom": [[6.4628, 0.0000, 0.0000], [3.2314, 5.5970, 0.0000], [3.2314, 1.8657, 5.2769]],
  "species": ["Lu", "Lu", "Tb", "Ho", "Lu", "Lu"],
  "fractional_positions": [[0.6252, 0.1244, 0.6252], [0.6252, 0.6252, 0.1244], [0.2500, 0.2500, 0.2500], [0.0000, 0.0000, 0.0000], [0.6252, 0.6252, 0.6252], [0.1244, 0.6252, 0.6252]]
}

=====

(6)
{
  "formula": "KH3Pt3",
  "functional": "PBE",
  "state": "relaxed",
  "dft_energy_ev_per_atom": -4.22,
  "magmom_total_mub_per_atom": 0.00,
  "lattice_angstrom": [[2.8060, 0.0000, 0.0000], [0.0000, 7.8509, -4.5327], [0.0000, 0.0000, 9.0654]],
  "species": ["Pt", "K", "Pt", "K", "H", "H", "Pt", "H", "H", "Pt", "Pt", "Pt", "H", "H"],
  "fractional_positions": [[0.2500, 0.7248, 0.7506], [0.7500, 0.3333, 0.6667], [0.2500, 0.2494, 0.9742], [0.2500, 0.6667, 0.3333], [0.7500, 0.6388, 0.6195], [0.7500, 0.3805, 0.0193], [0.2500, 0.0258, 0.2752], [0.2500, 0.3612, 0.3805], [0.2500, 0.0193, 0.6388], [0.7500, 0.9742, 0.7248], [0.7500, 0.7506, 0.0258], [0.7500, 0.2752, 0.2494], [0.7500, 0.9807, 0.3612], [0.2500, 0.6195, 0.9807]]
}